Entry 1:
VASP calculation (PBE) on crystalline Tb7Tl2Au2 at its relaxed geometry.

Computed properties:
- energy (eV for the cell shown) = -93.08
- DFT formation energy (eV/atom) = -0.26

Lattice parameters (Å, degrees): 8.303 11.279 7.220 90.00 90.00 90.00
Space group Cmmm (No. 65)
Asymmetric unit:
Tb (0.000, 0.000, 0.000) (multiplicity 2)
Tb (0.000, 0.500, 0.249) (multiplicity 4)
Tb (0.250, 0.250, 0.261) (multiplicity 8)
Tl (0.178, 0.000, 0.500) (multiplicity 4)
Au (0.000, 0.291, 0.000) (multiplicity 4)



Entry 2:
VASP calculation (PBE) on crystalline Tb4TlAu2 at its relaxed geometry.

Computed properties:
- energy (eV for the cell shown) = -91.15
- DFT formation energy (eV/atom) = -0.42

Lattice parameters (Å, degrees): 4.8887 4.8887 29.4848 90.00 90.00 120.00
Space group R-3m (No. 166, hexagonal axes)
Asymmetric unit:
Tb (0.0000, 0.0000, 0.1175) (multiplicity 6)
Tb (0.0000, 0.0000, 0.2974) (multiplicity 6)
Tl (0.0000, 0.0000, 0.5000) (multiplicity 3)
Au (0.0000, 0.0000, 0.3974) (multiplicity 6)



Entry 3:
VASP calculation (PBE) on crystalline Tb4TlAu at its relaxed geometry.

Computed properties:
- distance to the lowest polymorph of the same formula (eV per atom) = 0.189
- energy (eV for the cell shown) = -50.79
- DFT formation energy (eV/atom) = -0.21

Lattice parameters (Å, degrees): 7.587 7.196 7.083 90.00 90.69 90.00
Space group P2_1/c (No. 14)
Asymmetric unit:
Tb (0.148, 0.158, 0.164) (multiplicity 4)
Tb (0.327, 0.644, 0.135) (multiplicity 4)
Tl (0.500, 0.000, 0.000) (multiplicity 2)
Au (0.000, 0.000, 0.500) (multiplicity 2)



Entry 4:
VASP calculation (PBE) on crystalline TbTlAu4 at its relaxed geometry.

Computed properties:
- energy (eV for the cell shown) = -89.48
- DFT formation energy (eV/atom) = -0.38

Lattice parameters (Å, degrees): 7.996 7.996 7.996 90.00 90.00 90.00
Space group F-43m (No. 216)
Asymmetric unit:
Tb (0.000, 0.000, 0.000) (multiplicity 4)
Tl (0.250, 0.250, 0.250) (multiplicity 4)
Au (0.125, 0.125, 0.625) (multiplicity 16)



Entry 5:
VASP calculation (PBE) on crystalline Tb8TlAu2 at its relaxed geometry.

Computed properties:
- energy (eV for the cell shown) = -100.08
- DFT formation energy (eV/atom) = -0.37

Lattice parameters (Å, degrees): 18.034 5.117 7.197 90.00 107.35 90.00
Space group C2/m (No. 12)
Asymmetric unit:
Tb (0.032, 0.000, 0.261) (multiplicity 4)
Tb (0.093, 0.500, 0.966) (multiplicity 4)
Tb (0.173, 0.500, 0.470) (multiplicity 4)
Tb (0.196, 0.000, 0.819) (multiplicity 4)
Tl (0.000, 0.500, 0.500) (multiplicity 2)
Au (0.186, 0.000, 0.212) (multiplicity 4)



Entry 6:
VASP calculation (PBE) on crystalline Tb6Tl2Au at its relaxed geometry.

Computed properties:
- energy (eV for the cell shown) = -74.62
- DFT formation energy (eV/atom) = -0.17

Lattice parameters (Å, degrees): 5.122 7.299 15.330 90.00 90.00 90.00
Space group Immm (No. 71)
Asymmetric unit:
Tb (0.000, 0.235, 0.000) (multiplicity 4)
Tb (0.000, 0.258, 0.340) (multiplicity 8)
Tl (0.000, 0.500, 0.167) (multiplicity 4)
Au (0.000, 0.500, 0.500) (multiplicity 2)



Entry 7:
VASP calculation (PBE) on crystalline TbTlAu at its relaxed geometry.

Computed properties:
- energy (eV for the cell shown) = -23.29
- DFT formation energy (eV/atom) = -0.46

Lattice parameters (Å, degrees): 3.619 3.619 11.403 90.00 90.00 90.00
Space group I4mm (No. 107)
Asymmetric unit:
Tb (0.000, 0.000, 0.000) (multiplicity 2)
Tl (0.000, 0.000, 0.303) (multiplicity 2)
Au (0.000, 0.000, 0.639) (multiplicity 2)



Entry 8:
VASP calculation (PBE) on crystalline Tb2Tl2Au at its relaxed geometry.

Computed properties:
- energy (eV for the cell shown) = -38.44
- DFT formation energy (eV/atom) = -0.39

Lattice parameters (Å, degrees): 3.637 20.713 3.601 90.00 90.00 90.00
Space group Cmmm (No. 65)
Asymmetric unit:
Tb (0.000, 0.086, 0.000) (multiplicity 4)
Tl (0.000, 0.311, 0.500) (multiplicity 4)
Au (0.000, 0.500, 0.500) (multiplicity 2)



Question: The highest DFT formation energy belongs to which entry?
Answer: Tb6Tl2Au



Copy entry 5 word for word.
VASP calculation (PBE) on crystalline Tb8TlAu2 at its relaxed geometry.

Computed properties:
- energy (eV for the cell shown) = -100.08
- DFT formation energy (eV/atom) = -0.37

Lattice parameters (Å, degrees): 18.034 5.117 7.197 90.00 107.35 90.00
Space group C2/m (No. 12)
Asymmetric unit:
Tb (0.032, 0.000, 0.261) (multiplicity 4)
Tb (0.093, 0.500, 0.966) (multiplicity 4)
Tb (0.173, 0.500, 0.470) (multiplicity 4)
Tb (0.196, 0.000, 0.819) (multiplicity 4)
Tl (0.000, 0.500, 0.500) (multiplicity 2)
Au (0.186, 0.000, 0.212) (multiplicity 4)



Question: Look up the energy of the sixth one.
Answer: -74.62 eV for the cell shown